[1]
LuTl2Pb: optimized geometry, PBE.

Lattice parameters (Å, degrees): 4.6353 4.6353 5.1294 90.00 90.00 90.00
Sites, in units of the cell vectors:
Lu  0.0000  0.0000  0.0000
Tl  0.0000  0.5000  0.5000
Tl  0.5000  0.0000  0.5000
Pb  0.5000  0.5000  0.0000

- Space group: P4/mmm (123)
- Calculated volume: 27.553 Å³ per atom
- Formation energy: -0.149 eV/atom
- Relative energy among the computed polymorphs: 0.0 meV/atom
- M_tot: 0.00 Bohr magnetons per cell
- D(E_F): 2.06 states/eV per cell
- E: -13.6 eV/cell



[2]
LuTlPb2: optimized geometry, PBE.

Lattice parameters (Å, degrees): 4.1040 4.1040 6.9361 90.00 90.00 90.00
Sites, in units of the cell vectors:
Lu  0.0000  0.0000  0.0000
Tl  0.0000  0.0000  0.5000
Pb  0.5000  0.5000  0.2334
Pb  0.5000  0.5000  0.7666

- Space group: P4/mmm (123)
- Calculated volume: 29.205 Å³ per atom
- Formation energy: -0.117 eV/atom
- Relative energy among the computed polymorphs: 59.0 meV/atom
- M_tot: 0.00 Bohr magnetons per cell
- D(E_F): 3.22 states/eV per cell
- E: -14.8 eV/cell



[3]
LuTlPb2: optimized geometry, PBE.

Lattice parameters (Å, degrees): 5.5137 5.5137 5.5137 60.00 60.00 60.00
Sites, in units of the cell vectors:
Lu  0.0000  0.0000  0.0000
Tl  0.5000  0.5000  0.5000
Pb  0.2500  0.2500  0.2500
Pb  0.7500  0.7500  0.7500

- Space group: Fm-3m (225)
- Calculated volume: 29.632 Å³ per atom
- Formation energy: -0.016 eV/atom
- Relative energy among the computed polymorphs: 160.3 meV/atom
- M_tot: 0.00 Bohr magnetons per cell
- D(E_F): 4.37 states/eV per cell
- E: -14.4 eV/cell



[4]
LuTl2Pb: optimized geometry, PBE.

Lattice parameters (Å, degrees): 5.4585 5.4585 5.4585 60.00 60.00 60.00
Sites, in units of the cell vectors:
Lu  0.0000  0.0000  0.0000
Tl  0.2500  0.2500  0.2500
Tl  0.7500  0.7500  0.7500
Pb  0.5000  0.5000  0.5000

- Space group: Fm-3m (225)
- Calculated volume: 28.750 Å³ per atom
- Formation energy: -0.037 eV/atom
- Relative energy among the computed polymorphs: 111.9 meV/atom
- M_tot: 0.00 Bohr magnetons per cell
- D(E_F): 2.52 states/eV per cell
- E: -13.1 eV/cell



[5]
LuTlPb2: optimized geometry, PBE.

Lattice parameters (Å, degrees): 4.7909 4.7909 4.8949 90.00 90.00 90.00
Sites, in units of the cell vectors:
Lu  0.0000  0.0000  0.0000
Tl  0.5000  0.5000  0.0000
Pb  0.0000  0.5000  0.5000
Pb  0.5000  0.0000  0.5000

- Space group: P4/mmm (123)
- Calculated volume: 28.088 Å³ per atom
- Formation energy: -0.176 eV/atom
- Relative energy among the computed polymorphs: 0.0 meV/atom
- M_tot: 0.00 Bohr magnetons per cell
- D(E_F): 2.33 states/eV per cell
- E: -15.0 eV/cell



[6]
YLuTlPb: optimized geometry, PBE.

Lattice parameters (Å, degrees): 5.3812 5.3812 5.3812 60.00 60.00 60.00
Sites, in units of the cell vectors:
Y  0.0000  0.0000  0.0000
Lu  0.5000  0.5000  0.5000
Tl  0.7500  0.7500  0.7500
Pb  0.2500  0.2500  0.2500

- Space group: F-43m (216)
- Calculated volume: 27.547 Å³ per atom
- Formation energy: -0.318 eV/atom
- M_tot: 0.00 Bohr magnetons per cell
- D(E_F): 4.22 states/eV per cell
- E: -18.3 eV/cell



[7]
TmLu2Pb: optimized geometry, PBE.

Lattice parameters (Å, degrees): 4.7907 4.7907 4.7794 90.00 90.00 90.00
Sites, in units of the cell vectors:
Tm  0.0000  0.0000  0.0000
Lu  0.0000  0.5000  0.5000
Lu  0.5000  0.0000  0.5000
Pb  0.5000  0.5000  0.0000

- Space group: P4/mmm (123)
- Calculated volume: 27.423 Å³ per atom
- Formation energy: -0.223 eV/atom
- Relative energy among the computed polymorphs: 0.0 meV/atom
- M_tot: 0.95 Bohr magnetons per cell
- D(E_F): 5.14 states/eV per cell
- E: -18.1 eV/cell



[8]
TmLu2Pb: optimized geometry, PBE.

Lattice parameters (Å, degrees): 11.9845 11.9845 11.9845 16.50 16.50 16.50
Sites, in units of the cell vectors:
Tm  0.0000  0.0000  0.0000
Lu  0.0930  0.0930  0.0930
Lu  0.9070  0.9070  0.9070
Pb  0.5000  0.5000  0.5000

- Space group: R-3m (166)
- Calculated volume: 30.268 Å³ per atom
- Formation energy: 0.146 eV/atom
- Relative energy among the computed polymorphs: 369.2 meV/atom
- M_tot: 0.90 Bohr magnetons per cell
- D(E_F): 5.79 states/eV per cell
- E: -16.6 eV/cell



[9]
TmLuPb: optimized geometry, PBE.

Lattice parameters (Å, degrees): 5.2415 5.2415 3.6490 90.00 90.00 120.00
Sites, in units of the cell vectors:
Tm  0.0000  0.0000  0.0000
Lu  0.3333  0.6667  0.5370
Pb  0.6667  0.3333  0.2900

- Space group: P3m1 (156)
- Calculated volume: 28.940 Å³ per atom
- Formation energy: -0.164 eV/atom
- Relative energy among the computed polymorphs: 121.1 meV/atom
- M_tot: 0.00 Bohr magnetons per cell
- D(E_F): 3.73 states/eV per cell
- E: -13.2 eV/cell



[10]
TmLu2Pb: optimized geometry, PBE.

Lattice parameters (Å, degrees): 3.5973 3.5973 8.8892 90.00 90.00 90.00
Sites, in units of the cell vectors:
Tm  0.0000  0.0000  0.0000
Lu  0.5000  0.5000  0.2608
Lu  0.5000  0.5000  0.7392
Pb  0.0000  0.0000  0.5000

- Space group: P4/mmm (123)
- Calculated volume: 28.757 Å³ per atom
- Formation energy: -0.194 eV/atom
- Relative energy among the computed polymorphs: 29.3 meV/atom
- M_tot: 0.00 Bohr magnetons per cell
- D(E_F): 3.66 states/eV per cell
- E: -18.0 eV/cell



[11]
TmLuPb: optimized geometry, PBE.

Lattice parameters (Å, degrees): 7.1823 7.1823 7.1823 151.32 151.32 41.01
Sites, in units of the cell vectors:
Tm  0.0000  0.0000  0.0000
Lu  0.3255  0.3255  0.0000
Pb  0.6635  0.6635  0.0000

- Space group: I4mm (107)
- Calculated volume: 28.391 Å³ per atom
- Formation energy: -0.285 eV/atom
- Relative energy among the computed polymorphs: 0.0 meV/atom
- M_tot: 0.00 Bohr magnetons per cell
- D(E_F): 2.11 states/eV per cell
- E: -13.6 eV/cell



[12]
TmLuZnPb: optimized geometry, PBE.

Lattice parameters (Å, degrees): 5.1665 5.1665 5.1665 60.00 60.00 60.00
Sites, in units of the cell vectors:
Tm  0.0000  0.0000  0.0000
Lu  0.5000  0.5000  0.5000
Zn  0.2500  0.2500  0.2500
Pb  0.7500  0.7500  0.7500

- Space group: F-43m (216)
- Calculated volume: 24.379 Å³ per atom
- Formation energy: -0.302 eV/atom
- M_tot: 0.00 Bohr magnetons per cell
- D(E_F): 3.70 states/eV per cell
- E: -15.2 eV/cell



[13]
LuUPb2: optimized geometry, PBE.

Lattice parameters (Å, degrees): 3.4386 3.4386 9.1552 90.00 90.00 90.00
Sites, in units of the cell vectors:
Lu  0.0000  0.0000  0.0000
U  0.0000  0.0000  0.5000
Pb  0.5000  0.5000  0.2426
Pb  0.5000  0.5000  0.7574

- Space group: P4/mmm (123)
- Calculated volume: 27.063 Å³ per atom
- Formation energy: 0.015 eV/atom
- M_tot: 3.21 Bohr magnetons per cell
- D(E_F): 7.93 states/eV per cell
- E: -23.2 eV/cell



[14]
Lu2VPb: optimized geometry, PBE.

Lattice parameters (Å, degrees): 3.6190 3.6190 7.4290 90.00 90.00 90.00
Sites, in units of the cell vectors:
Lu  0.0000  0.0000  0.2216
Lu  0.0000  0.0000  0.7784
V  0.5000  0.5000  0.0000
Pb  0.5000  0.5000  0.5000

- Space group: P4/mmm (123)
- Calculated volume: 24.325 Å³ per atom
- Formation energy: -0.049 eV/atom
- M_tot: 2.67 Bohr magnetons per cell
- D(E_F): 2.44 states/eV per cell
- E: -22.1 eV/cell



[15]
YLu2Pb: optimized geometry, PBE.

Lattice parameters (Å, degrees): 4.8160 4.8160 4.8125 90.00 90.00 90.00
Sites, in units of the cell vectors:
Y  0.0000  0.0000  0.0000
Lu  0.0000  0.5000  0.5000
Lu  0.5000  0.0000  0.5000
Pb  0.5000  0.5000  0.0000

- Space group: P4/mmm (123)
- Calculated volume: 27.905 Å³ per atom
- Formation energy: -0.236 eV/atom
- Relative energy among the computed polymorphs: 0.0 meV/atom
- M_tot: 0.91 Bohr magnetons per cell
- D(E_F): 5.31 states/eV per cell
- E: -20.2 eV/cell



[16]
YLu2Pb: optimized geometry, PBE.

Lattice parameters (Å, degrees): 3.6181 3.6181 8.9615 90.00 90.00 90.00
Sites, in units of the cell vectors:
Y  0.0000  0.0000  0.0000
Lu  0.5000  0.5000  0.2644
Lu  0.5000  0.5000  0.7356
Pb  0.0000  0.0000  0.5000

- Space group: P4/mmm (123)
- Calculated volume: 29.329 Å³ per atom
- Formation energy: -0.194 eV/atom
- Relative energy among the computed polymorphs: 41.9 meV/atom
- M_tot: 0.00 Bohr magnetons per cell
- D(E_F): 4.14 states/eV per cell
- E: -20.0 eV/cell



[17]
LuZn4Pb: optimized geometry, PBE.

Lattice parameters (Å, degrees): 5.4878 5.4878 5.4878 60.00 60.00 60.00
Sites, in units of the cell vectors:
Lu  0.0000  0.0000  0.0000
Zn  0.1219  0.6260  0.6260
Zn  0.6260  0.1219  0.6260
Zn  0.6260  0.6260  0.1219
Zn  0.6260  0.6260  0.6260
Pb  0.2500  0.2500  0.2500

- Space group: F-43m (216)
- Calculated volume: 19.477 Å³ per atom
- Formation energy: -0.103 eV/atom
- M_tot: 0.00 Bohr magnetons per cell
- D(E_F): 2.76 states/eV per cell
- E: -13.9 eV/cell



[18]
LuZn2Pb: optimized geometry, PBE.

Lattice parameters (Å, degrees): 3.4683 3.4683 7.4966 90.00 90.00 90.00
Sites, in units of the cell vectors:
Lu  0.0000  0.0000  0.0000
Zn  0.5000  0.5000  0.2358
Zn  0.5000  0.5000  0.7642
Pb  0.0000  0.0000  0.5000

- Space group: P4/mmm (123)
- Calculated volume: 22.544 Å³ per atom
- Formation energy: -0.105 eV/atom
- M_tot: 0.00 Bohr magnetons per cell
- D(E_F): 2.01 states/eV per cell
- E: -11.2 eV/cell



[19]
LuZnPb: optimized geometry, PBE.

Lattice parameters (Å, degrees): 8.5836 8.5836 8.5836 158.30 158.30 30.88
Sites, in units of the cell vectors:
Lu  0.0000  0.0000  0.0000
Zn  0.1735  0.1735  0.0000
Pb  0.8098  0.8098  0.0000

- Space group: I4mm (107)
- Calculated volume: 28.799 Å³ per atom
- Formation energy: 0.419 eV/atom
- M_tot: 0.00 Bohr magnetons per cell
- D(E_F): 3.43 states/eV per cell
- E: -8.2 eV/cell



[20]
LuZnPb: optimized geometry, PBE.

Lattice parameters (Å, degrees): 4.7407 4.7407 4.7407 60.00 60.00 60.00
Sites, in units of the cell vectors:
Lu  0.0000  0.0000  0.0000
Zn  0.7500  0.7500  0.7500
Pb  0.5000  0.5000  0.5000

- Space group: F-43m (216)
- Calculated volume: 25.113 Å³ per atom
- Formation energy: -0.142 eV/atom
- M_tot: 0.00 Bohr magnetons per cell
- D(E_F): 1.73 states/eV per cell
- E: -9.9 eV/cell



[21]
LuZn2Pb: optimized geometry, PBE.

Lattice parameters (Å, degrees): 5.5599 5.5599 5.5599 49.16 49.16 49.16
Sites, in units of the cell vectors:
Lu  0.0000  0.0000  0.0000
Zn  0.2467  0.2467  0.2467
Zn  0.7533  0.7533  0.7533
Pb  0.5000  0.5000  0.5000

- Space group: R-3m (166)
- Calculated volume: 22.589 Å³ per atom
- Formation energy: -0.054 eV/atom
- M_tot: 0.00 Bohr magnetons per cell
- D(E_F): 1.41 states/eV per cell
- E: -11.0 eV/cell



[22]
LuZn2Pb: optimized geometry, PBE.

Lattice parameters (Å, degrees): 4.3832 4.3832 4.3883 90.00 90.00 90.00
Sites, in units of the cell vectors:
Lu  0.0000  0.0000  0.0000
Zn  0.0000  0.5000  0.5000
Zn  0.5000  0.0000  0.5000
Pb  0.5000  0.5000  0.0000

- Space group: P4/mmm (123)
- Calculated volume: 21.078 Å³ per atom
- Formation energy: -0.204 eV/atom
- M_tot: 0.00 Bohr magnetons per cell
- D(E_F): 2.44 states/eV per cell
- E: -11.6 eV/cell



[23]
LuZnPb: optimized geometry, PBE.

Lattice parameters (Å, degrees): 4.7822 4.7822 3.5605 90.00 90.00 120.00
Sites, in units of the cell vectors:
Lu  0.0000  0.0000  0.0000
Zn  0.3333  0.6667  0.3473
Pb  0.6667  0.3333  0.5563

- Space group: P3m1 (156)
- Calculated volume: 23.506 Å³ per atom
- Formation energy: -0.204 eV/atom
- M_tot: 0.00 Bohr magnetons per cell
- D(E_F): 1.07 states/eV per cell
- E: -10.1 eV/cell



[24]
LuZrZnPb: optimized geometry, PBE.

Lattice parameters (Å, degrees): 5.0488 5.0488 5.0488 60.00 60.00 60.00
Sites, in units of the cell vectors:
Lu  0.0000  0.0000  0.0000
Zr  0.5000  0.5000  0.5000
Zn  0.2500  0.2500  0.2500
Pb  0.7500  0.7500  0.7500

- Space group: F-43m (216)
- Calculated volume: 22.751 Å³ per atom
- Formation energy: -0.138 eV/atom
- M_tot: 0.01 Bohr magnetons per cell
- D(E_F): 3.27 states/eV per cell
- E: -18.6 eV/cell



[25]
LuZrPb2: optimized geometry, PBE.

Lattice parameters (Å, degrees): 3.9366 3.9366 6.6144 90.00 90.00 90.00
Sites, in units of the cell vectors:
Lu  0.0000  0.0000  0.0000
Zr  0.0000  0.0000  0.5000
Pb  0.5000  0.5000  0.2617
Pb  0.5000  0.5000  0.7383

- Space group: P4/mmm (123)
- Calculated volume: 25.625 Å³ per atom
- Formation energy: -0.176 eV/atom
- Relative energy among the computed polymorphs: 0.0 meV/atom
- M_tot: 0.00 Bohr magnetons per cell
- D(E_F): 3.39 states/eV per cell
- E: -21.2 eV/cell



[26]
LuZrPb2: optimized geometry, PBE.

Lattice parameters (Å, degrees): 10.4680 10.4680 10.4680 18.81 18.81 18.81
Sites, in units of the cell vectors:
Lu  0.0000  0.0000  0.0000
Zr  0.5000  0.5000  0.5000
Pb  0.2472  0.2472  0.2472
Pb  0.7528  0.7528  0.7528

- Space group: R-3m (166)
- Calculated volume: 26.050 Å³ per atom
- Formation energy: -0.132 eV/atom
- Relative energy among the computed polymorphs: 43.5 meV/atom
- M_tot: 0.00 Bohr magnetons per cell
- D(E_F): 3.05 states/eV per cell
- E: -21.0 eV/cell



[27]
LuZr2Pb: optimized geometry, PBE.

Lattice parameters (Å, degrees): 4.5589 4.5589 4.6329 90.00 90.00 90.00
Sites, in units of the cell vectors:
Lu  0.0000  0.0000  0.0000
Zr  0.0000  0.5000  0.5000
Zr  0.5000  0.0000  0.5000
Pb  0.5000  0.5000  0.0000

- Space group: P4/mmm (123)
- Calculated volume: 24.073 Å³ per atom
- Formation energy: -0.142 eV/atom
- M_tot: 0.00 Bohr magnetons per cell
- D(E_F): 4.91 states/eV per cell
- E: -25.9 eV/cell



[28]
LuZrPb2: optimized geometry, PBE.

Lattice parameters (Å, degrees): 5.2644 5.2644 5.2644 60.00 60.00 60.00
Sites, in units of the cell vectors:
Lu  0.0000  0.0000  0.0000
Zr  0.5000  0.5000  0.5000
Pb  0.2500  0.2500  0.2500
Pb  0.7500  0.7500  0.7500

- Space group: Fm-3m (225)
- Calculated volume: 25.791 Å³ per atom
- Formation energy: -0.095 eV/atom
- Relative energy among the computed polymorphs: 81.0 meV/atom
- M_tot: 1.42 Bohr magnetons per cell
- D(E_F): 4.85 states/eV per cell
- E: -20.9 eV/cell



[29]
LuZrPb2: optimized geometry, PBE.

Lattice parameters (Å, degrees): 4.7977 4.7977 4.3939 90.00 90.00 90.00
Sites, in units of the cell vectors:
Lu  0.0000  0.0000  0.0000
Zr  0.5000  0.5000  0.0000
Pb  0.0000  0.5000  0.5000
Pb  0.5000  0.0000  0.5000

- Space group: P4/mmm (123)
- Calculated volume: 25.285 Å³ per atom
- Formation energy: -0.172 eV/atom
- Relative energy among the computed polymorphs: 4.0 meV/atom
- M_tot: 0.00 Bohr magnetons per cell
- D(E_F): 4.88 states/eV per cell
- E: -21.2 eV/cell



[30]
LuPd6: optimized geometry, PBE.

Lattice parameters (Å, degrees): 6.0292 6.0292 6.0292 109.47 109.47 109.47
Sites, in units of the cell vectors:
Lu  0.0000  0.0000  0.0000
Pd  0.2500  0.5000  0.7500
Pd  0.2500  0.7500  0.5000
Pd  0.5000  0.2500  0.7500
Pd  0.5000  0.7500  0.2500
Pd  0.7500  0.2500  0.5000
Pd  0.7500  0.5000  0.2500

- Space group: Im-3m (229)
- Calculated volume: 24.102 Å³ per atom
- Formation energy: 0.664 eV/atom
- M_tot: 0.00 Bohr magnetons per cell
- D(E_F): 14.48 states/eV per cell
- E: -31.0 eV/cell



[31]
LuPd2: optimized geometry, PBE.

Lattice parameters (Å, degrees): 5.1481 5.1481 5.1481 140.23 140.23 57.50
Sites, in units of the cell vectors:
Lu  0.0000  0.0000  0.0000
Pd  0.3352  0.3352  0.0000
Pd  0.6648  0.6648  0.0000

- Space group: I4/mmm (139)
- Calculated volume: 18.449 Å³ per atom
- Formation energy: -0.844 eV/atom
- M_tot: 0.00 Bohr magnetons per cell
- D(E_F): 1.98 states/eV per cell
- E: -17.4 eV/cell